A geometry-optimized ZnFe2Rh structure. Source: Alexandria, functional GGA-PBE.

The calculation puts the formation energy at -0.092 eV per atom.

The structure belongs to space group P4/mmm (No. 123); the cell edges are 3.6613, 3.6613 and 3.9124 Å and the angles 90.00°, 90.00° and 90.00°. Symmetry generates all atoms from Zn at (0.0000, 0.0000, 0.0000), Fe at (0.0000, 0.5000, 0.5000) and Rh at (0.5000, 0.5000, 0.0000).


A geometry-optimized Dy2GaI structure. Source: Alexandria, functional GGA-PBE.

For the uncorrected formation energy, the calculation gives -687 meV/atom. For the energy above the most stable polymorph in this dataset, the calculation gives 0 meV per atom.

The structure belongs to space group R-3m (No. 166, hexagonal axes); the cell edges are 4.2669, 4.2669 and 22.0906 Å and the angles 90.00°, 90.00° and 120.00°. Symmetry generates all atoms from Dy at (0.0000, 0.0000, 0.2336), Ga at (0.0000, 0.0000, 0.5000) and I at (0.0000, 0.0000, 0.0000).


A geometry-optimized Ac4Te2IrN structure. Source: Alexandria, functional GGA-PBE.

For the uncorrected formation energy, the calculation gives -1129 meV/atom.

The structure belongs to space group P2/m (No. 10); the cell edges are 7.3456, 4.4022 and 8.1279 Å and the angles 90.00°, 106.85° and 90.00°. Symmetry generates all atoms from Ac at (0.2367, 0.0000, 0.2041), Ac at (0.2367, 0.5000, 0.8048), Te at (0.0000, 0.0000, 0.5000), Te at (0.5000, 0.5000, 0.5000), Ir at (0.5000, 0.0000, 0.0000) and N at (0.0000, 0.5000, 0.0000).


A geometry-optimized Pu2GaBi structure. Source: Alexandria, functional GGA-PBE.

For the energy above the most stable polymorph in this dataset, the calculation gives 98 meV per atom. The calculation puts the formation energy at -0.212 eV per atom.

The structure belongs to space group Fm-3m (No. 225); the cell edges are 7.4966, 7.4966 and 7.4966 Å and the angles 90.00°, 90.00° and 90.00°. Symmetry generates all atoms from Pu at (0.2500, 0.2500, 0.2500), Ga at (0.0000, 0.0000, 0.0000) and Bi at (0.0000, 0.0000, 0.5000).